No. 1
Pm2HoAg2Sn2 | PBE | relaxed

abc: 4.8126 4.8126 27.6777
angles: 90.00 90.00 120.00
Last column: nearest neighbours and their distance in Å.
Space group R-3m (No. 166, hexagonal axes)
Asymmetric unit:
1 Pm 0.0000 0.0000 0.1269  3 Sn 3.20, 3 Ag 3.38, 1 Ho 3.51, 3 Pm 3.54
2 Ho 0.0000 0.0000 0.0000  6 Ag 3.20, 6 Sn 3.38, 2 Pm 3.51
3 Ag 0.0000 0.0000 0.3910  3 Sn 2.80
4 Sn 0.0000 0.0000 0.2640  3 Ag 2.80

Output
The total energy comes out at -4.37 eV per atom. For the formation energy, the calculation gives -0.398 eV/atom. The volume comes out at 26.44 Å³ per atom.

No. 2
USeCl3 | PBE | relaxed

abc: 7.2406 7.4807 13.8218
angles: 90.00 96.41 90.00
Last column: nearest neighbours and their distance in Å.
Space group P2/c (No. 13)
Asymmetric unit:
1 U 0.0836 0.1163 0.1356  5 Cl 2.51-2.81
2 Se 0.1504 0.3881 0.2911  1 Se 2.34
3 Cl 0.1224 0.1952 0.5360  2 U 2.72-2.74
4 Cl 0.2213 0.0603 0.7986  2 U 2.70-2.81
5 Cl 0.3717 0.2396 0.0741  1 U 2.51

Output
The total energy comes out at -5.48 eV per atom. For the uncorrected formation energy, the calculation gives -32.76 kcal/mol of atoms. The volume comes out at 37.20 Å³ per atom.

> Which value of volume does entry 2 give?

37.20 Å³ per atom

> The highest volume belongs to which entry?

USeCl3

> Among the records above, which one has the highest volume?

USeCl3

> Which of these has the lowest volume?

Pm2HoAg2Sn2